Computed, not measured: a relaxed CrNi2Cl crystal at the PBE level of DFT.

Cell lengths 3.5239, 3.5239, 8.7795 Å; angles 90.00, 90.00, 90.00 degrees
Space group I4/mmm (No. 139)
Asymmetric unit:
Cr 0.0000 0.0000 0.0000 x2
Ni 0.0000 0.5000 0.2500 x4
Cl 0.0000 0.0000 0.5000 x2

Properties
Formation energy from raw total energies = 0.583 eV/atom
Energy relative to the lowest polymorph listed for this composition = 392.8 meV per atom


Computed, not measured: a relaxed SrInOs2 crystal at the PBE level of DFT.

Cell lengths 3.1678, 4.7671, 5.1228 Å; angles 90.00, 90.00, 90.00 degrees
Space group Pmmm (No. 47)
Asymmetric unit:
Sr 0.0000 0.0000 0.0000 x1
In 0.5000 0.0000 0.5000 x1
Os 0.0000 0.5000 0.5000 x1
Os 0.5000 0.5000 0.0000 x1

Properties
ΔH_f (0 K) = 1.0039 eV per atom


Computed, not measured: a relaxed Be2PBr crystal at the PBE level of DFT.

Cell lengths 6.5632, 6.5127, 3.5949 Å; angles 90.00, 110.27, 90.00 degrees
Space group C2/m (No. 12)
Asymmetric unit:
Be 0.2500 0.2500 0.0000 x4
P 0.0000 0.0000 0.0000 x2
Br 0.0000 0.5000 0.0000 x2

Properties
Formation energy from raw total energies = 0.390 eV/atom
Energy relative to the lowest polymorph listed for this composition = 791.7 meV per atom